No. 1
Material: Pm2HoPa
Method: DFT, PBE
State: optimized geometry

Cell and atoms, written as POSCAR:
```
Pm2HoPa
1.0
3.4380 0.0000 0.0000
0.0000 3.4380 0.0000
0.0000 0.0000 10.3855
Pm Ho Pa
2 1 1
Direct
0.0000 0.0000 0.2333
0.0000 0.0000 0.7667
0.5000 0.5000 0.5000
0.5000 0.5000 0.0000
```

Calculated values
energy of formation from the pure elements	0.162	eV/atom
density	9.3	g cm⁻³
total magnetization	0.00	μB/f.u.

No. 2
Material: CuAsN2O
Method: DFT, PBE
State: optimized geometry

Cell and atoms, written as POSCAR:
```
CuAsN2O
1.0
3.7825 0.0000 0.0000
0.0000 3.7825 0.0000
0.0000 0.0000 3.7535
Cu As N O
1 1 2 1
Direct
0.0000 0.0000 0.0000
0.5000 0.5000 0.5000
0.0000 0.5000 0.0000
0.5000 0.0000 0.0000
0.0000 0.0000 0.5000
```

Calculated values
E_form (uncorrected)	1.374	eV per atom
density	5.6	g cm⁻³
total magnetization	0.01	μB/f.u.

No. 3
Material: V2FePt2
Method: DFT, PBE
State: optimized geometry

Cell and atoms, written as POSCAR:
```
V2FePt2
1.0
7.4572 0.0000 0.0000
0.0000 7.4572 0.0000
0.0000 0.0000 2.7050
V Fe Pt
4 2 4
Direct
0.1678 0.3322 0.0000
0.3322 0.8322 0.0000
0.6678 0.1678 0.0000
0.8322 0.6678 0.0000
0.0000 0.0000 0.5000
0.5000 0.5000 0.5000
0.1305 0.6305 0.5000
0.3695 0.1305 0.5000
0.6305 0.8695 0.5000
0.8695 0.3695 0.5000
```

Calculated values
energy of formation from the pure elements	-0.191	eV/atom
density	12.1	g cm⁻³
total magnetization	2.09	μB/f.u.

No. 4
Material: Cs12Ag3Se5
Method: DFT, PBE
State: optimized geometry

Cell and atoms, written as POSCAR:
```
Cs12Ag3Se5
1.0
-10.8900 10.8900 10.8900
10.8900 -10.8900 10.8900
10.8900 10.8900 -10.8900
Cs Ag Se
48 12 20
Direct
0.0336 0.2086 0.1207
0.0336 0.3250 0.9130
0.0870 0.6207 0.4121
0.0870 0.9664 0.6750
0.0879 0.7086 0.6750
0.0879 0.8793 0.4130
0.1207 0.0336 0.2086
0.1207 0.5870 0.9121
0.1750 0.2086 0.5879
0.1750 0.4664 0.5870
0.2086 0.1207 0.0336
0.2086 0.5879 0.1750
0.2914 0.3250 0.9121
0.2914 0.4664 0.3793
0.3250 0.9121 0.2914
0.3250 0.9130 0.0336
0.3793 0.2914 0.4664
0.3793 0.5879 0.9130
0.4121 0.0870 0.6207
0.4121 0.8250 0.7914
0.4130 0.0879 0.8793
0.4130 0.8250 0.5336
0.4664 0.3793 0.2914
0.4664 0.5870 0.1750
0.5336 0.4130 0.8250
0.5336 0.6207 0.7086
0.5870 0.1750 0.4664
0.5870 0.9121 0.1207
0.5879 0.1750 0.2086
0.5879 0.9130 0.3793
0.6207 0.4121 0.0870
0.6207 0.7086 0.5336
0.6750 0.0870 0.9664
0.6750 0.0879 0.7086
0.7086 0.5336 0.6207
0.7086 0.6750 0.0879
0.7914 0.4121 0.8250
0.7914 0.8793 0.9664
0.8250 0.5336 0.4130
0.8250 0.7914 0.4121
0.8793 0.4130 0.0879
0.8793 0.9664 0.7914
0.9121 0.1207 0.5870
0.9121 0.2914 0.3250
0.9130 0.0336 0.3250
0.9130 0.3793 0.5879
0.9664 0.6750 0.0870
0.9664 0.7914 0.8793
0.1250 0.2500 0.3750
0.1250 0.3750 0.7500
0.2500 0.3750 0.1250
0.2500 0.8750 0.6250
0.3750 0.1250 0.2500
0.3750 0.7500 0.1250
0.6250 0.2500 0.8750
0.6250 0.8750 0.7500
0.7500 0.1250 0.3750
0.7500 0.6250 0.8750
0.8750 0.6250 0.2500
0.8750 0.7500 0.6250
0.0000 0.0000 0.0000
0.0000 0.0000 0.5000
0.0000 0.5000 0.0000
0.0000 0.5000 0.5000
0.1250 0.7500 0.8750
0.1250 0.8750 0.2500
0.2500 0.1250 0.8750
0.2500 0.6250 0.3750
0.3750 0.2500 0.6250
0.3750 0.6250 0.7500
0.5000 0.0000 0.0000
0.5000 0.0000 0.5000
0.5000 0.5000 0.0000
0.5000 0.5000 0.5000
0.6250 0.3750 0.2500
0.6250 0.7500 0.3750
0.7500 0.3750 0.6250
0.7500 0.8750 0.1250
0.8750 0.1250 0.7500
0.8750 0.2500 0.1250
```

Calculated values
E_form (uncorrected)	-0.592	eV per atom
density	3.0	g cm⁻³
total magnetization	1.39	μB/f.u.

Question: Among the records above, which one has the highest density?
Answer: V2FePt2

Question: Which of these has the highest density?
Answer: V2FePt2

Question: Which formula does entry 4 have?
Answer: Cs12Ag3Se5

Question: The lowest density belongs to which entry?
Answer: Cs12Ag3Se5